No. 1
CeRe3C3 (PBE, optimized geometry); energy = -138.69 eV/cell; ΔH_f (0 K) = 229.1 meV per atom
1.0
2.986 1.724 6.714
-2.986 1.724 6.714
0.000 -3.448 6.714
Ce Re C
2 6 6
direct
0.169 0.169 0.169
0.831 0.831 0.831
0.086 0.351 0.702
0.298 0.914 0.649
0.351 0.702 0.086
0.649 0.298 0.914
0.702 0.086 0.351
0.914 0.649 0.298
0.026 0.738 0.431
0.262 0.569 0.974
0.431 0.026 0.738
0.569 0.974 0.262
0.738 0.431 0.026
0.974 0.262 0.569

=====

No. 2
Ce3ReC3 (PBE, optimized geometry); energy = -119.39 eV/cell; ΔH_f (0 K) = -253.0 meV per atom
1.0
4.423 -5.176 0.000
4.423 5.176 0.000
0.000 0.000 5.289
Ce Re C
6 2 6
direct
0.116 0.884 0.750
0.171 0.416 0.750
0.416 0.171 0.250
0.584 0.829 0.750
0.829 0.584 0.250
0.884 0.116 0.250
0.310 0.690 0.250
0.690 0.310 0.750
0.121 0.879 0.250
0.162 0.414 0.250
0.414 0.162 0.750
0.586 0.838 0.250
0.838 0.586 0.750
0.879 0.121 0.750

=====

No. 3
CeRe2SiC (PBE, optimized geometry); formation energy without anion corrections = -442 meV per atom; energy = -95.37 eV/cell
1.0
1.991 -5.489 0.000
1.991 5.489 0.000
0.000 0.000 7.357
Ce Re Si C
2 4 2 2
direct
0.043 0.957 0.750
0.957 0.043 0.250
0.326 0.674 0.561
0.326 0.674 0.939
0.674 0.326 0.061
0.674 0.326 0.439
0.235 0.765 0.250
0.765 0.235 0.750
0.500 0.500 0.000
0.500 0.500 0.500

=====

No. 4
Ce2SmReC4 (PBE, optimized geometry); energy = -132.06 eV/cell; ΔH_f (0 K) = -12.6 meV per atom
1.0
1.779 -6.022 0.000
1.779 6.022 0.000
0.000 0.000 12.620
Ce Sm Re C
4 2 2 8
direct
0.131 0.869 0.539
0.131 0.869 0.961
0.869 0.131 0.039
0.869 0.131 0.461
0.398 0.602 0.750
0.602 0.398 0.250
0.337 0.663 0.250
0.663 0.337 0.750
0.079 0.921 0.750
0.237 0.763 0.133
0.237 0.763 0.367
0.500 0.500 0.000
0.500 0.500 0.500
0.763 0.237 0.633
0.763 0.237 0.867
0.921 0.079 0.250

=====

No. 5
CeTh2ReC2 (PBE, optimized geometry); energy = -104.26 eV/cell; ΔH_f (0 K) = -77.0 meV per atom
1.0
5.931 0.000 0.000
0.000 11.299 0.000
0.000 0.000 3.741
Ce Th Re C
2 4 2 4
direct
0.000 0.000 0.000
0.500 0.500 0.500
0.038 0.288 0.500
0.462 0.788 0.000
0.538 0.212 0.000
0.962 0.712 0.500
0.000 0.500 0.000
0.500 0.000 0.500
0.224 0.892 0.500
0.276 0.392 0.000
0.724 0.608 0.000
0.776 0.108 0.500

=====

No. 6
Ce2ThReC4 (PBE, optimized geometry); energy = -138.13 eV/cell; ΔH_f (0 K) = -54.3 meV per atom
1.0
1.769 -6.053 0.000
1.769 6.053 0.000
0.000 0.000 12.565
Ce Th Re C
4 2 2 8
direct
0.133 0.867 0.539
0.133 0.867 0.961
0.867 0.133 0.039
0.867 0.133 0.461
0.401 0.599 0.750
0.599 0.401 0.250
0.338 0.662 0.250
0.662 0.338 0.750
0.072 0.928 0.750
0.234 0.766 0.134
0.234 0.766 0.366
0.500 0.500 0.000
0.500 0.500 0.500
0.766 0.234 0.634
0.766 0.234 0.866
0.928 0.072 0.250